No. 1
Material: HgP2Ir
Method: DFT, GGA-PBEsol
State: optimized geometry

CIF file:
```
data_HgP2Ir
_chemical_formula_sum 'Hg1 P2 Ir1'
_space_group_name_H-M_alt 'P 1'
_space_group_IT_number 1
_cell_length_a 2.845
_cell_length_b 2.845
_cell_length_c 8.727
_cell_angle_alpha 90.00
_cell_angle_beta 90.00
_cell_angle_gamma 90.00
loop_
_space_group_symop_operation_xyz
'x,y,z'
loop_
_atom_site_label
_atom_site_type_symbol
_atom_site_fract_x
_atom_site_fract_y
_atom_site_fract_z
Hg1 Hg 0.000 0.000 0.000
P1 P 0.500 0.500 0.321
P2 P 0.500 0.500 0.679
Ir1 Ir 0.000 0.000 0.500
```

Summary:
- Space-group type: No. 123
- ΔE_f: 125 meV per atom

No. 2
Material: HgPIr2
Method: DFT, GGA-PBEsol
State: optimized geometry

CIF file:
```
data_HgPIr2
_chemical_formula_sum 'Hg1 P1 Ir2'
_space_group_name_H-M_alt 'P 1'
_space_group_IT_number 1
_cell_length_a 5.306
_cell_length_b 5.306
_cell_length_c 2.839
_cell_angle_alpha 105.36
_cell_angle_beta 105.36
_cell_angle_gamma 115.81
loop_
_space_group_symop_operation_xyz
'x,y,z'
loop_
_atom_site_label
_atom_site_type_symbol
_atom_site_fract_x
_atom_site_fract_y
_atom_site_fract_z
Hg1 Hg 0.000 0.000 0.000
P1 P 0.500 0.500 0.000
Ir1 Ir 0.000 0.500 0.000
Ir2 Ir 0.500 0.000 0.000
```

Summary:
- Space-group type: No. 12
- ΔE_f: 602 meV per atom
- ΔE to the lowest computed polymorph: 1.91 eV/f.u.

No. 3
Material: HgIr2Pb
Method: DFT, GGA-PBEsol
State: optimized geometry

CIF file:
```
data_HgIr2Pb
_chemical_formula_sum 'Hg1 Ir2 Pb1'
_space_group_name_H-M_alt 'P 1'
_space_group_IT_number 1
_cell_length_a 6.483
_cell_length_b 6.483
_cell_length_c 6.483
_cell_angle_alpha 153.97
_cell_angle_beta 139.28
_cell_angle_gamma 48.96
loop_
_space_group_symop_operation_xyz
'x,y,z'
loop_
_atom_site_label
_atom_site_type_symbol
_atom_site_fract_x
_atom_site_fract_y
_atom_site_fract_z
Hg1 Hg 0.000 0.000 0.000
Ir1 Ir 0.328 0.828 0.500
Ir2 Ir 0.513 0.513 0.000
Pb1 Pb 0.725 0.225 0.500
```

Summary:
- Space-group type: No. 44
- ΔE_f: 513 meV per atom

No. 4
Material: HgIrPb2
Method: DFT, GGA-PBEsol
State: optimized geometry

CIF file:
```
data_HgIrPb2
_chemical_formula_sum 'Hg1 Ir1 Pb2'
_space_group_name_H-M_alt 'P 1'
_space_group_IT_number 1
_cell_length_a 10.038
_cell_length_b 10.038
_cell_length_c 10.038
_cell_angle_alpha 18.83
_cell_angle_beta 18.83
_cell_angle_gamma 18.83
loop_
_space_group_symop_operation_xyz
'x,y,z'
loop_
_atom_site_label
_atom_site_type_symbol
_atom_site_fract_x
_atom_site_fract_y
_atom_site_fract_z
Hg1 Hg 0.000 0.000 0.000
Ir1 Ir 0.736 0.736 0.736
Pb1 Pb 0.245 0.245 0.245
Pb2 Pb 0.472 0.472 0.472
```

Summary:
- Space-group type: No. 160
- ΔE_f: 368 meV per atom

No. 5
Material: HgIr2Pt
Method: DFT, GGA-PBEsol
State: optimized geometry

CIF file:
```
data_HgIr2Pt
_chemical_formula_sum 'Hg1 Ir2 Pt1'
_space_group_name_H-M_alt 'P 1'
_space_group_IT_number 1
_cell_length_a 3.973
_cell_length_b 3.973
_cell_length_c 3.939
_cell_angle_alpha 90.00
_cell_angle_beta 90.00
_cell_angle_gamma 90.00
loop_
_space_group_symop_operation_xyz
'x,y,z'
loop_
_atom_site_label
_atom_site_type_symbol
_atom_site_fract_x
_atom_site_fract_y
_atom_site_fract_z
Hg1 Hg 0.000 0.000 0.000
Ir1 Ir 0.000 0.500 0.500
Ir2 Ir 0.500 0.000 0.500
Pt1 Pt 0.500 0.500 0.000
```

Summary:
- Space-group type: No. 123
- ΔE_f: 420 meV per atom

No. 6
Material: HgIrPt2
Method: DFT, GGA-PBEsol
State: optimized geometry

CIF file:
```
data_HgIrPt2
_chemical_formula_sum 'Hg1 Ir1 Pt2'
_space_group_name_H-M_alt 'P 1'
_space_group_IT_number 1
_cell_length_a 5.575
_cell_length_b 5.575
_cell_length_c 5.575
_cell_angle_alpha 151.33
_cell_angle_beta 128.77
_cell_angle_gamma 59.76
loop_
_space_group_symop_operation_xyz
'x,y,z'
loop_
_atom_site_label
_atom_site_type_symbol
_atom_site_fract_x
_atom_site_fract_y
_atom_site_fract_z
Hg1 Hg 0.000 0.000 0.000
Ir1 Ir 0.500 0.500 0.000
Pt1 Pt 0.262 0.762 0.500
Pt2 Pt 0.738 0.238 0.500
```

Summary:
- Space-group type: No. 71
- ΔE_f: 284 meV per atom